Compound: Pa4Pt3Rh
Source: Alexandria
Functional: GGA-PBE
Structure: relaxed

Lattice parameters (Å, degrees): 3.7675 4.3146 10.9932 90.00 90.00 90.00
Closest atoms and distances in Å follow each position.
Element x y z (fractional)
Pa  0.0000  0.0000  0.0000  5 Pt 2.92-2.94, 2 Rh 3.26
Pa  0.0000  0.5000  0.2800  4 Rh 2.89, 3 Pt 2.94-3.13
Pa  0.5000  0.0000  0.4972  1 Rh 2.81, 4 Pt 2.92
Pa  0.5000  0.5000  0.7844  7 Pt 2.92-3.22
Pt  0.0000  0.0000  0.7321  7 Pa 2.92-3.20, 2 Pt 2.97
Pt  0.0000  0.5000  0.5471  7 Pa 2.92-3.22, 2 Pt 2.97
Pt  0.5000  0.5000  0.0527  7 Pa 2.92-3.13, 2 Rh 3.00
Rh  0.5000  0.0000  0.2418  5 Pa 2.81-2.89, 2 Pt 3.00

## Properties
Space group: Pmm2 (25)
Uncorrected energy, eV per atom: -8.779

Compound: PaPtRh2
Source: Alexandria
Functional: GGA-PBE
Structure: relaxed

Lattice parameters (Å, degrees): 4.5646 4.5646 4.5646 62.59 62.59 62.59
Closest atoms and distances in Å follow each position.
Element x y z (fractional)
Pa  0.0000  0.0000  0.0000  2 Rh 2.52
Pt  0.5000  0.5000  0.5000  8 Rh 2.82-2.96
Rh  0.2295  0.2295  0.2295  1 Pa 2.52
Rh  0.7705  0.7705  0.7705  1 Pa 2.52

## Properties
Space group: R-3m (166)
Excess energy over the best structure of this formula in the dataset, eV/f.u.: 1.09

Compound: PaPt6Rh
Source: Alexandria
Functional: GGA-PBE
Structure: relaxed

Lattice parameters (Å, degrees): 5.0181 5.0181 8.0744 114.10 114.10 47.72
Closest atoms and distances in Å follow each position.
Element x y z (fractional)
Pa  0.0000  0.0000  0.0000  12 Pt 2.87-2.92
Pt  0.2464  0.2464  0.8642  1 Rh 2.80, 8 Pt 2.84-2.97, 3 Pa 2.91-2.92
Pt  0.2511  0.2511  0.3803  8 Pt 2.81-2.91, 3 Rh 2.87-2.88, 1 Pa 2.90
Pt  0.4974  0.4974  0.2497  8 Pt 2.85-2.93, 2 Rh 2.86, 2 Pa 2.87
Pt  0.5026  0.5026  0.7503  8 Pt 2.85-2.93, 2 Rh 2.86, 2 Pa 2.87
Pt  0.7489  0.7489  0.6197  8 Pt 2.81-2.91, 3 Rh 2.87-2.88, 1 Pa 2.90
Pt  0.7536  0.7536  0.1358  1 Rh 2.80, 8 Pt 2.84-2.97, 3 Pa 2.91-2.92
Rh  0.0000  0.0000  0.5000  12 Pt 2.80-2.88

## Properties
Space group: C2/m (12)
Uncorrected energy, eV per atom: -7.154